Computed, not measured: a relaxed Rb2UCuTe4 crystal at the PBE-GGA level of DFT.

Unit cell a=8.9040 b=8.9040 c=7.3177 alpha=90.00 beta=90.00 gamma=90.00
Last column: nearest neighbours and their distance in Å.
Space group I-42m (No. 121)
Inequivalent atoms, fractional coordinates:
Rb  0.0000  0.5000  0.0000 [4 per cell]  2 Rb 3.66, 8 Te 3.70-3.88
U  0.0000  0.0000  0.0000 [2 per cell]  4 Te 2.91
Cu  0.0000  0.0000  0.5000 [2 per cell]  4 Te 2.67
Te  0.1667  0.1667  0.7249 [8 per cell]  1 Cu 2.67, 1 U 2.91

Output
Magnetic moment = 0.118 μB/atom
Energy = -4.264 eV per atom
Energy relative to the elements, uncorrected = -0.5278 eV/atom